Compound: Sm2HfAl4Au3
Source: Alexandria via LeMat-Bulk
Functional: PBE
Structure: relaxed

Computed properties:
Total magnetization, μB per atom: 0.000
Energy of formation from the pure elements, eV per atom: -0.60

Cell: 4.2843 4.2843 11.4106 Å, 90.00 90.00 90.00°
Space group P-4m2 (No. 115)
One atom of each set of equivalent atoms:
Sm1 0.0000 0.5000 0.2455 x2
Hf1 0.0000 0.0000 0.5000 x1
Al1 0.0000 0.0000 0.0000 x1
Al2 0.0000 0.5000 0.6529 x2
Al3 0.5000 0.5000 0.0000 x1
Au1 0.0000 0.5000 0.8725 x2
Au2 0.5000 0.5000 0.5000 x1

=====

Compound: HfAl2TcAu
Source: Alexandria via LeMat-Bulk
Functional: PBE
Structure: relaxed

Computed properties:
Total magnetization, μB per atom: 0.310
Energy of formation from the pure elements, eV per atom: 1.31

Cell: 5.1766 5.1766 4.7193 Å, 90.00 90.00 90.00°
Space group P4/mmm (No. 123)
One atom of each set of equivalent atoms:
Hf1 0.0000 0.0000 0.0000 x1
Al1 0.0000 0.5000 0.0000 x2
Tc1 0.0000 0.0000 0.5000 x1
Au1 0.5000 0.5000 0.5000 x1

=====

Compound: HfAlTcAu2
Source: Alexandria via LeMat-Bulk
Functional: PBE
Structure: relaxed

Computed properties:
Total magnetization, μB per atom: 0.001
Energy of formation from the pure elements, eV per atom: 0.51

Cell: 4.6113 4.6113 4.6012 Å, 90.00 90.00 90.00°
Space group P4/mmm (No. 123)
One atom of each set of equivalent atoms:
Hf1 0.0000 0.0000 0.0000 x1
Al1 0.5000 0.5000 0.5000 x1
Tc1 0.5000 0.5000 0.0000 x1
Au1 0.0000 0.5000 0.5000 x2

=====

Compound: HfThAl2Au4
Source: Alexandria via LeMat-Bulk
Functional: PBE
Structure: relaxed

Computed properties:
Total magnetization, μB per atom: 0.000
Energy of formation from the pure elements, eV per atom: -0.57

Cell: 4.6311 4.6311 25.9480 Å, 90.00 90.00 120.00°
Space group R-3m (No. 166, hexagonal axes)
One atom of each set of equivalent atoms:
Hf1 0.0000 0.0000 0.0000 x3
Th1 0.0000 0.0000 0.5000 x3
Al1 0.0000 0.0000 0.2589 x6
Au1 0.0000 0.0000 0.1080 x6
Au2 0.0000 0.0000 0.3720 x6

=====

Compound: HfAlTlAu2
Source: Alexandria via LeMat-Bulk
Functional: PBE
Structure: relaxed

Computed properties:
Total magnetization, μB per atom: 0.000
Energy of formation from the pure elements, eV per atom: 1.06

Cell: 5.1206 5.1206 5.0037 Å, 90.00 90.00 90.00°
Space group P4/mmm (No. 123)
One atom of each set of equivalent atoms:
Hf1 0.0000 0.0000 0.0000 x1
Al1 0.5000 0.5000 0.0000 x1
Tl1 0.5000 0.5000 0.5000 x1
Au1 0.0000 0.5000 0.5000 x2

=====

Compound: HfAl2VAu
Source: Alexandria via LeMat-Bulk
Functional: PBE
Structure: relaxed

Computed properties:
Total magnetization, μB per atom: 0.000
Energy of formation from the pure elements, eV per atom: 1.26

Cell: 5.1201 5.1201 4.5776 Å, 90.00 90.00 90.00°
Space group P4/mmm (No. 123)
One atom of each set of equivalent atoms:
Hf1 0.0000 0.0000 0.0000 x1
Al1 0.0000 0.5000 0.0000 x2
V1 0.0000 0.0000 0.5000 x1
Au1 0.5000 0.5000 0.5000 x1

=====

Compound: HfAlZnAu
Source: Alexandria via LeMat-Bulk
Functional: PBE
Structure: relaxed

Computed properties:
Total magnetization, μB per atom: 0.000
Energy of formation from the pure elements, eV per atom: -0.28

Cell: 6.5468 6.5468 6.5468 Å, 90.00 90.00 90.00°
Space group F-43m (No. 216)
One atom of each set of equivalent atoms:
Hf1 0.0000 0.0000 0.0000 x4
Al1 0.0000 0.0000 0.5000 x4
Zn1 0.2500 0.2500 0.7500 x4
Au1 0.2500 0.2500 0.2500 x4

=====

Compound: Al2HgAu
Source: Alexandria via LeMat-Bulk
Functional: PBE
Structure: relaxed

Computed properties:
Total magnetization, μB per atom: 0.000
Energy of formation from the pure elements, eV per atom: -0.11
Relative energy among the computed polymorphs, meV per atom: 5

Cell: 8.3441 3.1856 6.0194 Å, 90.00 104.69 90.00°
Space group C2/m (No. 12)
One atom of each set of equivalent atoms:
Al1 0.2470 0.0000 0.2119 x4
Hg1 0.0000 0.0000 0.5000 x2
Au1 0.0000 0.5000 0.0000 x2

=====

Compound: Al2HgAu2
Source: Alexandria via LeMat-Bulk
Functional: PBE
Structure: relaxed

Computed properties:
Total magnetization, μB per atom: 0.000
Energy of formation from the pure elements, eV per atom: -0.17
Relative energy among the computed polymorphs, meV per atom: 0

Cell: 4.1074 4.1074 11.8990 Å, 90.00 90.00 90.00°
Space group I4/mmm (No. 139)
One atom of each set of equivalent atoms:
Al1 0.0000 0.5000 0.2500 x4
Hg1 0.0000 0.0000 0.0000 x2
Au1 0.0000 0.0000 0.3813 x4

=====

Compound: AlHg2Au
Source: Alexandria via LeMat-Bulk
Functional: PBE
Structure: relaxed

Computed properties:
Total magnetization, μB per atom: 0.000
Energy of formation from the pure elements, eV per atom: 0.06

Cell: 3.2556 5.6423 9.3754 Å, 90.00 90.00 90.00°
Space group Imm2 (No. 44)
One atom of each set of equivalent atoms:
Al1 0.0000 0.0000 0.0000 x2
Hg1 0.0000 0.0000 0.4737 x2
Hg2 0.0000 0.5000 0.2557 x2
Au1 0.0000 0.5000 0.7076 x2

=====

Compound: Al2Hg2Au
Source: Alexandria via LeMat-Bulk
Functional: PBE
Structure: relaxed

Computed properties:
Total magnetization, μB per atom: 0.000
Energy of formation from the pure elements, eV per atom: 0.25
Relative energy among the computed polymorphs, meV per atom: 255

Cell: 3.8063 3.8063 14.9568 Å, 90.00 90.00 90.00°
Space group I4/mmm (No. 139)
One atom of each set of equivalent atoms:
Al1 0.0000 0.5000 0.2500 x4
Hg1 0.0000 0.0000 0.0992 x4
Au1 0.0000 0.0000 0.5000 x2

=====

Compound: Al2HgAu2
Source: Alexandria via LeMat-Bulk
Functional: PBE
Structure: relaxed

Computed properties:
Total magnetization, μB per atom: 0.000
Energy of formation from the pure elements, eV per atom: -0.16
Relative energy among the computed polymorphs, meV per atom: 6

Cell: 8.2384 8.2384 2.7818 Å, 90.00 90.00 90.00°
Space group P4/mbm (No. 127)
One atom of each set of equivalent atoms:
Al1 0.1322 0.3678 0.0000 x4
Hg1 0.0000 0.0000 0.0000 x2
Au1 0.1628 0.6628 0.5000 x4

=====

Compound: AlHg2Au
Source: Alexandria via LeMat-Bulk
Functional: PBE
Structure: relaxed

Computed properties:
Total magnetization, μB per atom: 0.000
Energy of formation from the pure elements, eV per atom: 0.13

Cell: 4.3498 4.3498 8.6875 Å, 90.00 90.00 90.00°
Space group I4/mmm (No. 139)
One atom of each set of equivalent atoms:
Al1 0.0000 0.0000 0.0000 x2
Hg1 0.0000 0.5000 0.2500 x4
Au1 0.0000 0.0000 0.5000 x2

=====

Compound: AlHg3Au
Source: Alexandria via LeMat-Bulk
Functional: PBE
Structure: relaxed

Computed properties:
Total magnetization, μB per atom: 0.000
Energy of formation from the pure elements, eV per atom: 0.34
Relative energy among the computed polymorphs, meV per atom: 0

Cell: 5.2354 5.2354 5.2354 Å, 90.00 90.00 90.00°
Space group Pm-3m (No. 221)
One atom of each set of equivalent atoms:
Al1 0.0000 0.0000 0.0000 x1
Hg1 0.0000 0.0000 0.5000 x3
Au1 0.5000 0.5000 0.5000 x1

=====

Compound: AlHgAu2
Source: Alexandria via LeMat-Bulk
Functional: PBE
Structure: relaxed

Computed properties:
Total magnetization, μB per atom: 0.000
Energy of formation from the pure elements, eV per atom: -0.17
Relative energy among the computed polymorphs, meV per atom: 5

Cell: 5.8237 3.2909 8.5062 Å, 90.00 103.74 90.00°
Space group C2/m (No. 12)
One atom of each set of equivalent atoms:
Al1 0.0000 0.0000 0.0000 x2
Hg1 0.0000 0.5000 0.5000 x2
Au1 0.2422 0.5000 0.2138 x4

=====

Compound: Al2HgAu
Source: Alexandria via LeMat-Bulk
Functional: PBE
Structure: relaxed

Computed properties:
Total magnetization, μB per atom: 0.000
Energy of formation from the pure elements, eV per atom: 0.05
Relative energy among the computed polymorphs, meV per atom: 164

Cell: 4.1560 4.1560 8.6182 Å, 90.00 90.00 90.00°
Space group I-4m2 (No. 119)
One atom of each set of equivalent atoms:
Al1 0.0000 0.0000 0.0000 x2
Al2 0.0000 0.5000 0.2500 x2
Hg1 0.0000 0.0000 0.5000 x2
Au1 0.0000 0.5000 0.7500 x2

=====

Compound: Al2HgAu
Source: Alexandria via LeMat-Bulk
Functional: PBE
Structure: relaxed

Computed properties:
Total magnetization, μB per atom: 0.000
Energy of formation from the pure elements, eV per atom: 0.04
Relative energy among the computed polymorphs, meV per atom: 148

Cell: 4.2435 5.1387 7.0364 Å, 90.00 90.00 90.00°
Space group Immm (No. 71)
One atom of each set of equivalent atoms:
Al1 0.0000 0.0000 0.2347 x4
Hg1 0.0000 0.5000 0.0000 x2
Au1 0.0000 0.5000 0.5000 x2

=====

Compound: AlHgAu
Source: Alexandria via LeMat-Bulk
Functional: PBE
Structure: relaxed

Computed properties:
Total magnetization, μB per atom: 0.000
Energy of formation from the pure elements, eV per atom: -0.03
Relative energy among the computed polymorphs, meV per atom: 78

Cell: 6.4065 6.4065 6.4065 Å, 90.00 90.00 90.00°
Space group F-43m (No. 216)
One atom of each set of equivalent atoms:
Al1 0.0000 0.0000 0.0000 x4
Hg1 0.0000 0.0000 0.5000 x4
Au1 0.2500 0.2500 0.7500 x4

=====

Compound: AlHgAu2
Source: Alexandria via LeMat-Bulk
Functional: PBE
Structure: relaxed

Computed properties:
Total magnetization, μB per atom: 0.000
Energy of formation from the pure elements, eV per atom: -0.01
Relative energy among the computed polymorphs, meV per atom: 166

Cell: 4.2865 4.2865 8.0363 Å, 90.00 90.00 90.00°
Space group I4/mmm (No. 139)
One atom of each set of equivalent atoms:
Al1 0.0000 0.0000 0.0000 x2
Hg1 0.0000 0.0000 0.5000 x2
Au1 0.0000 0.5000 0.2500 x4

=====

Compound: AlHgAu2
Source: Alexandria via LeMat-Bulk
Functional: PBE
Structure: relaxed

Computed properties:
Total magnetization, μB per atom: 0.000
Energy of formation from the pure elements, eV per atom: -0.04
Relative energy among the computed polymorphs, meV per atom: 137

Cell: 3.4018 4.9652 4.8011 Å, 90.00 97.12 90.00°
Space group Pm (No. 6)
One atom of each set of equivalent atoms:
Al1 0.0000 0.0000 0.0000 x1
Hg1 0.6434 0.5000 0.7435 x1
Au1 0.1305 0.5000 0.2377 x1
Au2 0.3563 0.0000 0.5326 x1